This record from the Alexandria database describes crystalline PmSm4Tm2 at its relaxed geometry. The functional is GGA-PBE.

Summary:
D(E_F)	1.447	states/eV per atom
total magnetic moment	0.00	μB/cell
crystal system	monoclinic
formation energy	0.057	eV/atom

abc: 12.4865 12.4865 6.7723
angles: 97.03 97.03 150.14
Atoms (fractional coordinates):
1 Pm 0.1250 0.8750 0.5000
2 Pm 0.8750 0.1250 0.0000
3 Sm 0.0078 0.0449 0.6329
4 Sm 0.0449 0.0078 0.1329
5 Sm 0.1608 0.6239 0.3654
6 Sm 0.2398 0.6322 0.8965
7 Sm 0.4849 0.5924 0.1023
8 Sm 0.5924 0.4849 0.6023
9 Sm 0.6239 0.1608 0.8654
10 Sm 0.6322 0.2398 0.3965
11 Tm 0.0666 0.7488 0.9466
12 Tm 0.3703 0.5526 0.5529
13 Tm 0.5526 0.3703 0.0529
14 Tm 0.7488 0.0666 0.4466

***

This record from the Alexandria database describes crystalline Pm4SmTm at its relaxed geometry. The functional is GGA-PBE.

Summary:
D(E_F)	1.586	states/eV per atom
total magnetic moment	0.00	μB/cell
crystal system	cubic
formation energy	0.261	eV/atom

abc: 6.6607 6.6607 6.6607
angles: 60.00 60.00 60.00
Atoms (fractional coordinates):
1 Pm 0.3755 0.3755 0.3755
2 Pm 0.3755 0.3755 0.8734
3 Pm 0.3755 0.8734 0.3755
4 Pm 0.8734 0.3755 0.3755
5 Sm 0.0000 0.0000 0.0000
6 Tm 0.7500 0.7500 0.7500

***

This record from the Alexandria database describes crystalline Pm6SmTm3 at its relaxed geometry. The functional is GGA-PBE.

Summary:
D(E_F)	1.409	states/eV per atom
total magnetic moment	0.00	μB/cell
crystal system	orthorhombic
formation energy	0.146	eV/atom

abc: 11.0788 11.0788 6.2903
angles: 90.00 90.00 120.52
Atoms (fractional coordinates):
1 Pm 0.0382 0.9618 0.5000
2 Pm 0.0558 0.4745 0.0234
3 Pm 0.2807 0.7193 0.7433
4 Pm 0.2907 0.3734 0.8445
5 Pm 0.3734 0.2907 0.3445
6 Pm 0.4745 0.0558 0.5234
7 Pm 0.5255 0.9442 0.0234
8 Pm 0.6266 0.7093 0.8445
9 Pm 0.7093 0.6266 0.3445
10 Pm 0.7193 0.2807 0.2433
11 Pm 0.9442 0.5255 0.5234
12 Pm 0.9618 0.0382 0.0000
13 Sm 0.1974 0.8026 0.2738
14 Sm 0.8026 0.1974 0.7738
15 Tm 0.0568 0.2848 0.4267
16 Tm 0.2848 0.0568 0.9267
17 Tm 0.3852 0.6148 0.3068
18 Tm 0.6148 0.3852 0.8068
19 Tm 0.7152 0.9432 0.4267
20 Tm 0.9432 0.7152 0.9267

***

This record from the Alexandria database describes crystalline Pm11Sm9Tm4 at its relaxed geometry. The functional is GGA-PBE.

Summary:
D(E_F)	1.296	states/eV per atom
total magnetic moment	0.00	μB/cell
crystal system	orthorhombic
formation energy	0.054	eV/atom

abc: 15.5547 15.5547 3.6651
angles: 90.00 90.00 113.83
Atoms (fractional coordinates):
1 Pm 0.0000 0.0000 0.0000
2 Pm 0.0416 0.4028 0.0000
3 Pm 0.1637 0.8363 0.0000
4 Pm 0.2906 0.2906 0.0000
5 Pm 0.3701 0.6299 0.0000
6 Pm 0.4028 0.0416 0.0000
7 Pm 0.5972 0.9584 0.0000
8 Pm 0.6299 0.3701 0.0000
9 Pm 0.7094 0.7094 0.0000
10 Pm 0.8363 0.1637 0.0000
11 Pm 0.9584 0.5972 0.0000
12 Sm 0.0642 0.2132 0.5000
13 Sm 0.1660 0.6270 0.5000
14 Sm 0.2132 0.0642 0.5000
15 Sm 0.3730 0.8340 0.5000
16 Sm 0.5000 0.5000 0.5000
17 Sm 0.6270 0.1660 0.5000
18 Sm 0.7867 0.9358 0.5000
19 Sm 0.8340 0.3730 0.5000
20 Sm 0.9358 0.7867 0.5000
21 Tm 0.2397 0.4426 0.5000
22 Tm 0.4426 0.2397 0.5000
23 Tm 0.5574 0.7603 0.5000
24 Tm 0.7603 0.5574 0.5000

***

This record from the Alexandria database describes crystalline PmSm4Tm at its relaxed geometry. The functional is GGA-PBE.

Summary:
D(E_F)	1.409	states/eV per atom
total magnetic moment	0.00	μB/cell
crystal system	monoclinic
formation energy	0.017	eV/atom

abc: 6.2508 6.2508 6.2368
angles: 99.47 99.47 120.13
Atoms (fractional coordinates):
1 Pm 0.0000 0.0000 0.0000
2 Sm 0.1665 0.8335 0.5000
3 Sm 0.3341 0.6659 0.0000
4 Sm 0.6659 0.3341 0.0000
5 Sm 0.8335 0.1665 0.5000
6 Tm 0.5000 0.5000 0.5000

***

This record from the Alexandria database describes crystalline Pm2SmTm8 at its relaxed geometry. The functional is GGA-PBE.

Summary:
D(E_F)	1.288	states/eV per atom
total magnetic moment	0.00	μB/cell
crystal system	orthorhombic
formation energy	0.116	eV/atom

abc: 9.3513 9.3513 9.3513
angles: 146.13 129.31 62.36
Atoms (fractional coordinates):
1 Pm 0.2003 0.2003 0.0000
2 Pm 0.7997 0.7997 0.0000
3 Sm 0.5000 0.5000 0.0000
4 Tm 0.0695 0.3610 0.7086
5 Tm 0.2074 0.0000 0.2074
6 Tm 0.3391 0.8391 0.5000
7 Tm 0.3476 0.6390 0.7086
8 Tm 0.6524 0.3610 0.2914
9 Tm 0.6609 0.1609 0.5000
10 Tm 0.7926 0.0000 0.7926
11 Tm 0.9305 0.6390 0.2914

***

This record from the Alexandria database describes crystalline Pm4Sm5Tm at its relaxed geometry. The functional is GGA-PBE.

Summary:
D(E_F)	1.464	states/eV per atom
total magnetic moment	0.00	μB/cell
crystal system	tetragonal
formation energy	0.235	eV/atom

abc: 8.0914 8.0914 8.0914
angles: 98.29 98.29 135.37
Atoms (fractional coordinates):
1 Pm 0.0000 0.3238 0.3238
2 Pm 0.0000 0.6762 0.6762
3 Pm 0.3238 0.0000 0.3238
4 Pm 0.6762 0.0000 0.6762
5 Sm 0.2831 0.2831 0.6229
6 Sm 0.2831 0.6602 0.0000
7 Sm 0.6602 0.2831 0.0000
8 Sm 0.6602 0.6602 0.3771
9 Sm 0.7455 0.7455 0.0000
10 Tm 0.2141 0.2141 0.0000

***

This record from the Alexandria database describes crystalline PmSm5Tm6 at its relaxed geometry. The functional is GGA-PBE.

Summary:
D(E_F)	1.407	states/eV per atom
total magnetic moment	0.00	μB/cell
crystal system	triclinic
formation energy	0.020	eV/atom

abc: 6.1299 7.1517 9.4128
angles: 112.23 90.62 90.06
Atoms (fractional coordinates):
1 Pm 0.0000 0.0000 0.0000
2 Sm 0.0000 0.5000 0.0000
3 Sm 0.3335 0.3333 0.6667
4 Sm 0.3338 0.8331 0.6663
5 Sm 0.6662 0.1669 0.3337
6 Sm 0.6665 0.6667 0.3333
7 Tm 0.1664 0.4169 0.3336
8 Tm 0.1664 0.9168 0.3336
9 Tm 0.5000 0.2501 0.0000
10 Tm 0.5000 0.7499 0.0000
11 Tm 0.8336 0.0832 0.6664
12 Tm 0.8336 0.5831 0.6664

***

This record from the Alexandria database describes crystalline Pm4SmTm5 at its relaxed geometry. The functional is GGA-PBE.

Summary:
D(E_F)	1.689	states/eV per atom
total magnetic moment	0.00	μB/cell
crystal system	triclinic
formation energy	0.015	eV/atom

abc: 6.2917 6.7456 8.4848
angles: 77.41 68.25 90.00
Atoms (fractional coordinates):
1 Pm 0.0000 0.0000 0.0000
2 Pm 0.1975 0.3978 0.6012
3 Pm 0.4354 0.6986 0.8009
4 Pm 0.6350 0.0982 0.4025
5 Sm 0.3991 0.7959 0.2036
6 Tm 0.0292 0.8975 0.6015
7 Tm 0.2330 0.2996 0.1994
8 Tm 0.6023 0.2003 0.8032
9 Tm 0.8043 0.5967 0.3996
10 Tm 0.8306 0.4966 0.0037

***

This record from the Alexandria database describes crystalline Pm4Sm3Tm2 at its relaxed geometry. The functional is GGA-PBE.

Summary:
D(E_F)	1.318	states/eV per atom
total magnetic moment	0.00	μB/cell
crystal system	monoclinic
formation energy	0.090	eV/atom

abc: 10.2312 10.2312 6.0975
angles: 95.71 95.71 69.91
Atoms (fractional coordinates):
1 Pm 0.0501 0.8217 0.9519
2 Pm 0.1625 0.3871 0.1134
3 Pm 0.1783 0.9499 0.5481
4 Pm 0.3871 0.1625 0.6134
5 Pm 0.6129 0.8375 0.3866
6 Pm 0.8217 0.0501 0.4519
7 Pm 0.8375 0.6129 0.8866
8 Pm 0.9499 0.1783 0.0481
9 Sm 0.0193 0.3198 0.5810
10 Sm 0.3198 0.0193 0.0810
11 Sm 0.3487 0.6513 0.2500
12 Sm 0.6513 0.3487 0.7500
13 Sm 0.6802 0.9807 0.9190
14 Sm 0.9807 0.6802 0.4190
15 Tm 0.2906 0.5059 0.7009
16 Tm 0.4941 0.7094 0.7991
17 Tm 0.5059 0.2906 0.2009
18 Tm 0.7094 0.4941 0.2991

***

This record from the Alexandria database describes crystalline Pm3Sm5Tm3 at its relaxed geometry. The functional is GGA-PBE.

Summary:
D(E_F)	1.566	states/eV per atom
total magnetic moment	0.00	μB/cell
crystal system	hexagonal
formation energy	0.332	eV/atom

abc: 11.2716 11.2716 3.4538
angles: 90.00 90.00 120.00
Atoms (fractional coordinates):
1 Pm 0.0000 0.5965 0.0000
2 Pm 0.4035 0.4035 0.0000
3 Pm 0.5965 0.0000 0.0000
4 Sm 0.0000 0.3371 0.5000
5 Sm 0.3333 0.6667 0.5000
6 Sm 0.3371 0.0000 0.5000
7 Sm 0.6629 0.6629 0.5000
8 Sm 0.6667 0.3333 0.5000
9 Tm 0.0000 0.8410 0.5000
10 Tm 0.1590 0.1590 0.5000
11 Tm 0.8410 0.0000 0.5000

***

This record from the Alexandria database describes crystalline Pm3SmTm8 at its relaxed geometry. The functional is GGA-PBE.

Summary:
D(E_F)	1.862	states/eV per atom
total magnetic moment	0.00	μB/cell
crystal system	triclinic
formation energy	0.014	eV/atom

abc: 6.2657 8.4009 8.4125
angles: 83.99 68.15 68.20
Atoms (fractional coordinates):
1 Pm 0.0000 0.0000 0.0000
2 Pm 0.0001 0.4999 0.4997
3 Pm 0.3385 0.2486 0.7494
4 Sm 0.3381 0.7486 0.2493
5 Tm 0.0023 0.0811 0.5812
6 Tm 0.0018 0.5817 0.0814
7 Tm 0.3364 0.1670 0.1681
8 Tm 0.3361 0.6674 0.6676
9 Tm 0.6662 0.4167 0.9174
10 Tm 0.6664 0.9162 0.4172
11 Tm 0.6721 0.3323 0.3317
12 Tm 0.6718 0.8319 0.8322

***

This record from the Alexandria database describes crystalline Pm4Sm6Tm at its relaxed geometry. The functional is GGA-PBE.

Summary:
D(E_F)	1.705	states/eV per atom
total magnetic moment	0.00	μB/cell
crystal system	orthorhombic
formation energy	0.116	eV/atom

abc: 5.6890 5.6890 25.7512
angles: 90.00 90.00 117.48
Atoms (fractional coordinates):
1 Pm 0.0496 0.9504 0.6229
2 Pm 0.0496 0.9504 0.8771
3 Pm 0.3530 0.6470 0.5446
4 Pm 0.3530 0.6470 0.9554
5 Pm 0.6470 0.3530 0.0446
6 Pm 0.6470 0.3530 0.4554
7 Pm 0.9504 0.0496 0.1229
8 Pm 0.9504 0.0496 0.3771
9 Sm 0.0000 0.0000 0.0000
10 Sm 0.0000 0.0000 0.5000
11 Sm 0.0512 0.9488 0.7500
12 Sm 0.2961 0.7039 0.1058
13 Sm 0.2961 0.7039 0.3942
14 Sm 0.3794 0.6206 0.6836
15 Sm 0.3794 0.6206 0.8164
16 Sm 0.6206 0.3794 0.1836
17 Sm 0.6206 0.3794 0.3164
18 Sm 0.7039 0.2961 0.6058
19 Sm 0.7039 0.2961 0.8942
20 Sm 0.9488 0.0512 0.2500
21 Tm 0.2868 0.7132 0.2500
22 Tm 0.7132 0.2868 0.7500

***

This record from the Alexandria database describes crystalline Pm6Sm2Tm at its relaxed geometry. The functional is GGA-PBE.

Summary:
D(E_F)	1.905	states/eV per atom
total magnetic moment	0.00	μB/cell
crystal system	monoclinic
formation energy	0.181	eV/atom

abc: 10.2436 10.2436 3.4746
angles: 99.32 99.32 60.15
Atoms (fractional coordinates):
1 Pm 0.1457 0.5219 0.3342
2 Pm 0.1924 0.8076 0.0000
3 Pm 0.4781 0.8543 0.6658
4 Pm 0.5219 0.1457 0.3342
5 Pm 0.8076 0.1924 0.0000
6 Pm 0.8543 0.4781 0.6658
7 Sm 0.1667 0.1667 0.1661
8 Sm 0.8333 0.8333 0.8339
9 Tm 0.5000 0.5000 0.5000

***

This record from the Alexandria database describes crystalline Pm7Sm2Tm at its relaxed geometry. The functional is GGA-PBE.

Summary:
D(E_F)	1.468	states/eV per atom
total magnetic moment	0.00	μB/cell
crystal system	orthorhombic
formation energy	0.638	eV/atom

abc: 9.6807 9.6807 5.3817
angles: 90.00 90.00 126.38
Atoms (fractional coordinates):
1 Pm 0.0000 0.0000 0.0000
2 Pm 0.2117 0.4279 0.0000
3 Pm 0.2975 0.7025 0.5000
4 Pm 0.4279 0.2117 0.0000
5 Pm 0.5721 0.7883 0.0000
6 Pm 0.7025 0.2975 0.5000
7 Pm 0.7883 0.5721 0.0000
8 Sm 0.2048 0.7952 0.0000
9 Sm 0.7952 0.2048 0.0000
10 Tm 0.5000 0.5000 0.5000

***

This record from the Alexandria database describes crystalline PmSm12Tm6 at its relaxed geometry. The functional is GGA-PBE.

Summary:
D(E_F)	1.718	states/eV per atom
total magnetic moment	0.00	μB/cell
crystal system	trigonal
formation energy	0.141	eV/atom

abc: 8.5910 8.5910 8.5910
angles: 88.77 88.77 88.77
Atoms (fractional coordinates):
1 Pm 0.0000 0.0000 0.0000
2 Sm 0.0156 0.3621 0.1978
3 Sm 0.1978 0.0156 0.3621
4 Sm 0.2201 0.5665 0.4623
5 Sm 0.3621 0.1978 0.0156
6 Sm 0.4335 0.5377 0.7799
7 Sm 0.4623 0.2201 0.5665
8 Sm 0.5377 0.7799 0.4335
9 Sm 0.5665 0.4623 0.2201
10 Sm 0.6379 0.8022 0.9844
11 Sm 0.7799 0.4335 0.5377
12 Sm 0.8022 0.9844 0.6379
13 Sm 0.9844 0.6379 0.8022
14 Tm 0.0992 0.2583 0.6988
15 Tm 0.2583 0.6988 0.0992
16 Tm 0.3012 0.9008 0.7417
17 Tm 0.6988 0.0992 0.2583
18 Tm 0.7417 0.3012 0.9008
19 Tm 0.9008 0.7417 0.3012

***

This record from the Alexandria database describes crystalline Pm2Sm5Tm2 at its relaxed geometry. The functional is GGA-PBE.

Summary:
D(E_F)	1.498	states/eV per atom
total magnetic moment	0.00	μB/cell
crystal system	orthorhombic
formation energy	0.215	eV/atom

abc: 10.1250 10.1250 10.1250
angles: 85.03 108.20 140.74
Atoms (fractional coordinates):
1 Pm 0.0025 0.1264 0.1290
2 Pm 0.0025 0.3736 0.3761
3 Pm 0.9975 0.6264 0.6239
4 Pm 0.9975 0.8736 0.8710
5 Sm 0.0979 0.4017 0.8008
6 Sm 0.0979 0.7971 0.1962
7 Sm 0.3939 0.8998 0.9941
8 Sm 0.4433 0.3215 0.4084
9 Sm 0.4433 0.5349 0.6218
10 Sm 0.6009 0.2971 0.1992
11 Sm 0.6009 0.9017 0.8038
12 Sm 0.9057 0.3998 0.0059
13 Sm 0.9130 0.0349 0.5916
14 Sm 0.9130 0.8215 0.3782
15 Tm 0.4467 0.2061 0.7406
16 Tm 0.4655 0.7061 0.2594
17 Tm 0.5297 0.0297 0.5000
18 Tm 0.5297 0.5297 0.0000

***

This record from the Alexandria database describes crystalline Pm2Sm12Tm5 at its relaxed geometry. The functional is GGA-PBE.

Summary:
D(E_F)	1.428	states/eV per atom
total magnetic moment	0.00	μB/cell
crystal system	monoclinic
formation energy	0.115	eV/atom

abc: 8.6881 8.6881 9.3638
angles: 109.09 109.09 84.04
Atoms (fractional coordinates):
1 Pm 0.2236 0.7764 0.0000
2 Pm 0.7764 0.2236 0.0000
3 Sm 0.0573 0.5486 0.1977
4 Sm 0.0783 0.0783 0.7835
5 Sm 0.1125 0.6720 0.5837
6 Sm 0.3280 0.8875 0.4163
7 Sm 0.3836 0.3836 0.0595
8 Sm 0.4514 0.9427 0.8023
9 Sm 0.5486 0.0573 0.1977
10 Sm 0.6164 0.6164 0.9405
11 Sm 0.6720 0.1125 0.5837
12 Sm 0.8875 0.3280 0.4163
13 Sm 0.9217 0.9217 0.2165
14 Sm 0.9427 0.4514 0.8023
15 Tm 0.1900 0.1900 0.2340
16 Tm 0.3024 0.3024 0.6598
17 Tm 0.5000 0.5000 0.5000
18 Tm 0.6976 0.6976 0.3402
19 Tm 0.8100 0.8100 0.7660